Compound: MnRuBr2
Source: Alexandria
Functional: GGA-PBE
Structure: relaxed

a = 3.3410 Å, b = 3.8014 Å, c = 7.7995 Å
α = 80.71°, β = 90.00°, γ = 90.00°
Closest atoms and distances in Å follow each position.
Positions (direct):
Mn  0.0000  0.5020  0.5642  4 Ru 2.65-2.68, 2 Br 2.73
Br  0.5000  0.1976  0.3527  1 Ru 2.52, 2 Mn 2.73
Br  0.0000  0.8407  0.9097  2 Ru 2.47
Ru  0.5000  0.9598  0.6734  3 Br 2.47-2.52, 4 Mn 2.65-2.68

symmetry: Pm
density: 5.4 g/cm³
formation energy (no corrections): 0.07 eV/atom

Compound: Mn2RuBr
Source: Alexandria
Functional: GGA-PBE
Structure: relaxed

a = 3.0630 Å, b = 4.6109 Å, c = 4.4267 Å
α = 90.00°, β = 90.00°, γ = 90.00°
Closest atoms and distances in Å follow each position.
Positions (direct):
Br  0.0000  0.5000  0.5000  4 Mn 2.69, 4 Ru 2.77
Mn  0.0000  0.0000  0.0000  4 Ru 2.69, 4 Mn 2.77
Mn  0.5000  0.5000  0.0000  4 Br 2.69, 4 Mn 2.77
Ru  0.5000  0.0000  0.5000  4 Mn 2.69, 4 Br 2.77

symmetry: Pmmm
density: 7.7 g/cm³
formation energy (no corrections): 0.73 eV/atom

Compound: MnRuBr2
Source: Alexandria
Functional: GGA-PBE
Structure: relaxed

a = 4.1717 Å, b = 3.7506 Å, c = 5.3556 Å
α = 90.78°, β = 90.00°, γ = 90.00°
Closest atoms and distances in Å follow each position.
Positions (direct):
Ru  0.5000  0.7500  0.7500  4 Br 2.59
Mn  0.5000  0.2500  0.2500  4 Br 2.70
Br  0.0000  0.9793  0.9902  2 Ru 2.59, 2 Mn 2.70
Br  0.0000  0.5207  0.5098  2 Ru 2.59, 2 Mn 2.70

symmetry: P2/m
density: 6.3 g/cm³
formation energy (no corrections): 0.59 eV/atom

no.,calculated total energy (eV/cell),distance to the lowest polymorph of the same formula (meV per atom)
1,-21.5,0
2,-26.4,482
3,-19.4,524